# PmPr2YPt2, optimized geometry, DFT PBE
# V ... 28.42 Å³ per atom
# Energy of formation ... -451 kJ/mol of formula units
data_PmPr2YPt2
_chemical_formula_sum 'Pm4 Pr8 Y4 Pt8'
_cell_length_a 6.887
_cell_length_b 14.371
_cell_length_c 6.891
_cell_angle_alpha 90.00
_cell_angle_beta 90.00
_cell_angle_gamma 90.00
_symmetry_space_group_name_H-M 'I b a m'
_symmetry_Int_Tables_number 72
_symmetry_space_group_name_Hall '-I 2 2c'
loop_
_atom_site_label
_atom_site_fract_x
_atom_site_fract_y
_atom_site_fract_z
Pm1 0.000 0.000 0.250
Pr1 0.226 0.308 0.000
Y1 0.000 0.500 0.250
Pt1 0.238 0.389 0.500